Density functional theory data (GGA-PBE) for a geometry-optimized TeMoH structure.

Calculated values
V, Å³ per cell: 802
Crystal system: tetragonal
Calculated density, g/cm3: 7.4
DOS at the Fermi energy, states/eV/cell: 29.20
Uncorrected energy, eV per cell: -269.2

Geometry as extended XYZ:
```
48
Lattice="-7.0252 7.0252 4.0618 7.0252 -7.0252 4.0618 7.0252 7.0252 -4.0618" Properties=species:S:1:pos:R:3 pbc="T T T"
Te 8.8347 -3.3547 2.0133
Te 8.8347 3.6705 -2.0133
Te 7.1831 1.7031 -0.0176
Te 0.1545 1.0169 1.0907
Te 4.5295 -3.6671 5.0020
Te 2.4957 3.6671 0.9402
Te 6.8673 5.3221 -0.0176
Te 7.1797 1.0169 2.9711
Te -0.1545 6.0083 1.0907
Te 0.1579 1.7031 4.0793
Te 4.5295 3.3581 3.1216
Te 2.4957 10.6923 -0.9402
Te 6.8707 6.0083 2.9711
Te -0.1579 5.3221 4.0793
Te -1.8095 3.3547 6.0750
Te -1.8095 10.3799 2.0485
Mo 9.9667 1.4559 -0.5104
Mo 11.7606 -0.2591 0.5216
Mo 9.0819 -0.5711 1.5205
Mo 2.0567 -0.5711 2.5413
Mo 3.7718 1.2227 1.5092
Mo 4.0837 5.5693 -0.5104
Mo 3.7718 8.2479 -1.5092
Mo 4.7353 -0.2591 3.5401
Mo 2.2899 7.2844 0.5216
Mo 3.2535 -1.2227 5.5710
Mo 2.9415 1.4559 4.5722
Mo 3.2535 5.8025 2.5525
Mo 4.9686 7.5963 1.5205
Mo -2.0567 7.5963 2.5413
Mo -4.7353 7.2844 3.5401
Mo -2.9415 5.5693 4.5722
H 2.1791 -1.1213 0.6966
H 3.7779 1.5140 -0.3934
H 5.0266 -0.2653 1.6375
H 9.4165 1.3335 1.3343
H 5.0266 6.7599 -1.6375
H 2.1791 5.9039 -0.6966
H 3.2473 -1.5140 3.6684
H 2.3913 1.3335 2.7275
H 4.6339 5.6918 1.3343
H 3.7779 8.5392 0.3934
H 4.8461 1.1213 4.7584
H 1.9986 0.2653 5.6993
H -2.3913 5.6918 2.7275
H 1.9986 7.2905 2.4243
H 3.2473 5.5112 4.4551
H 4.8461 8.1465 3.3651
```